# La2CoSbO6

Crystalline La2CoSbO6 at its relaxed geometry (PBE with a Hubbard U, the Alexandria database).

abc: 5.6560 5.8529 8.1196
angles: 90.00 89.06 90.00
Closest atoms and distances in Å follow each position.
Element x y z (fractional)
1 O 0.3132 0.7171 0.0536  1 Co 2.01, 1 Sb 2.23
2 La 0.9845 0.0535 0.7491  6 O 2.42-2.68
3 Sb 0.0000 0.5000 0.0000  6 O 2.22-2.23
4 Sb 0.5000 0.0000 0.5000  6 O 2.22-2.23
5 O 0.0972 0.4676 0.7347  1 Co 2.00, 1 Sb 2.22
6 O 0.8132 0.7829 0.5536  1 Co 2.01, 1 Sb 2.23
7 O 0.6868 0.2829 0.9464  1 Co 2.01, 1 Sb 2.23
8 O 0.9028 0.5324 0.2653  1 Co 2.00, 1 Sb 2.22
9 La 0.4845 0.4465 0.2491  6 O 2.42-2.68
10 O 0.2840 0.6913 0.4492  1 Co 2.00, 1 Sb 2.22
11 La 0.5155 0.5535 0.7509  6 O 2.42-2.68
12 O 0.5972 0.0324 0.2347  1 Co 2.00, 1 Sb 2.22
13 O 0.1868 0.2171 0.4464  1 Co 2.01, 1 Sb 2.23
14 O 0.7160 0.3087 0.5508  1 Co 2.00, 1 Sb 2.22
15 O 0.7840 0.8087 0.9492  1 Co 2.00, 1 Sb 2.22
16 O 0.2160 0.1913 0.0508  1 Co 2.00, 1 Sb 2.22
17 La 0.0155 0.9465 0.2509  6 O 2.42-2.68
18 Co 0.5000 0.0000 0.0000  6 O 2.00-2.01
19 O 0.4028 0.9676 0.7653  1 Co 2.00, 1 Sb 2.22
20 Co 0.0000 0.5000 0.5000  6 O 2.00-2.01

Total magnetization = 0.0 μB/cell
E = -7.083 eV per atom
Symmetry = P2_1/c (14)